# 1
Entry from the Alexandria database: a relaxed structure of KLiOs2 (PBE).

Structure (POSCAR):
```
KLiOs2
1.0
5.8825 -0.0005 0.0000
3.6053 4.6482 0.0000
-4.7439 -2.3239 2.5883
Li Os K
1 2 1
direct
0.7500 0.2500 0.5000
0.0000 0.0000 0.0000
0.5000 0.5000 0.0000
0.2500 0.7500 0.5000
```

=====

# 2
Entry from the Alexandria database: a relaxed structure of K2LiOs (PBE).

Structure (POSCAR):
```
K2LiOs
1.0
2.8940 -0.0421 0.0000
-0.4478 2.8594 0.0000
0.0000 0.0000 12.1308
K Li Os
2 1 1
direct
0.0000 0.0000 0.5319
0.0000 0.0000 0.9681
0.5000 0.5000 0.2500
0.5000 0.5000 0.7500
```

=====

no.,final energy (eV/cell)
1,-21.27
2,-11.12